# 1
ZrTl2AsPt: PBEsol geometry, meta-GGA SCAN.

* DOS(E_F): 0.348 states/eV/atom
* calculated formation energy: 138 meV per atom

Unit cell a=5.0686 b=5.0686 c=5.1521 alpha=90.00 beta=90.00 gamma=90.00
Fractional positions:
Zr1 0.0000 0.0000 0.5000
Tl1 0.5000 0.0000 0.0000
Tl2 0.0000 0.5000 0.0000
As1 0.5000 0.5000 0.5000
Pt1 0.0000 0.0000 0.0000

---

# 2
MgTiGaGe2: PBEsol geometry, meta-GGA SCAN.

* DOS(E_F): 0.471 states/eV/atom
* calculated formation energy: 821 meV per atom

Unit cell a=4.8227 b=4.8152 c=4.8152 alpha=90.00 beta=90.00 gamma=90.00
Last column: magnetic moment on the atom in μB.
Fractional positions:
Ge1 0.0000 0.0000 0.5000  -0.03
Ge2 0.0000 0.5000 0.0000  -0.03
Mg1 0.0000 0.0000 0.0000  -0.01
Ti1 0.5000 0.5000 0.5000  1.65
Ga1 0.5000 0.0000 0.0000  0.01

---

# 3
BaIrO3: PBEsol geometry, meta-GGA SCAN.

* DOS(E_F): 0.692 states/eV/atom
* energy relative to the elements, uncorrected: -8.771 eV per formula unit

Unit cell a=5.7069 b=5.7069 c=14.3812 alpha=90.76 beta=90.76 gamma=119.62
Fractional positions:
O1 0.5104 0.0408 0.7423
O2 0.8763 0.7004 0.5884
O3 0.1237 0.2996 0.4116
O4 0.8394 0.6248 0.9447
O5 0.0408 0.5104 0.2423
O6 0.9592 0.4896 0.7577
O7 0.2996 0.1237 0.9116
O8 0.4896 0.9592 0.2577
O9 0.0984 0.8007 0.4051
O10 0.4878 0.5122 0.2500
O11 0.1606 0.3752 0.0553
O12 0.3752 0.1606 0.5553
O13 0.8007 0.0984 0.9051
O14 0.1993 0.9016 0.0949
O15 0.5122 0.4878 0.7500
O16 0.6248 0.8394 0.4447
O17 0.9016 0.1993 0.5949
O18 0.7004 0.8763 0.0884
Ba1 0.6556 0.3247 0.4047
Ba2 0.6753 0.3444 0.0953
Ba3 0.3247 0.6556 0.9047
Ba4 0.3444 0.6753 0.5953
Ba5 0.9986 0.0014 0.7500
Ba6 0.0014 0.9986 0.2500
Ir1 0.0000 0.0000 0.5000
Ir2 0.0000 0.0000 0.0000
Ir3 0.3257 0.6552 0.3466
Ir4 0.6552 0.3257 0.8466
Ir5 0.3448 0.6743 0.1534
Ir6 0.6743 0.3448 0.6534

---

# 4
Rb2MoAs2O9: PBEsol geometry, meta-GGA SCAN.

* DOS(E_F): 0.000 states/eV/atom
* energy relative to the elements, uncorrected: -25.399 eV per formula unit

Unit cell a=7.4243 b=7.5219 c=9.1931 alpha=69.33 beta=77.48 gamma=86.28
Fractional positions:
Rb1 0.0859 0.7167 0.6223
Rb2 0.8186 0.1730 0.8788
Rb3 0.1814 0.8270 0.1212
Rb4 0.9141 0.2833 0.3777
As1 0.3335 0.1839 0.6391
As2 0.3233 0.3337 0.9135
As3 0.6665 0.8161 0.3609
As4 0.6767 0.6663 0.0865
Mo1 0.5660 0.7584 0.7381
Mo2 0.4340 0.2416 0.2619
O1 0.3248 0.5747 0.8440
O2 0.5078 0.7460 0.5407
O3 0.4922 0.2540 0.4593
O4 0.6752 0.4253 0.1560
O5 0.7211 0.9443 0.6424
O6 0.1297 0.2859 0.6231
O7 0.8703 0.7141 0.3769
O8 0.4532 0.2711 0.7498
O9 0.6710 0.0569 0.2689
O10 0.2789 0.0557 0.3576
O11 0.4702 0.2319 0.0440
O12 0.3290 0.9431 0.7311
O13 0.8820 0.7717 0.0143
O14 0.5298 0.7681 0.9560
O15 0.5468 0.7289 0.2502
O16 0.7100 0.5677 0.7760
O17 0.1180 0.2283 0.9857
O18 0.2900 0.4323 0.2240

---

# 5
Li3VF6: PBEsol geometry, meta-GGA SCAN.

* energy relative to the elements, uncorrected: -31.649 eV per formula unit
* excess energy over the best structure of this formula in the dataset: 0.036 eV/atom

Unit cell a=5.1258 b=5.3902 c=8.6533 alpha=90.00 beta=90.00 gamma=116.01
Last column: magnetic moment on the atom in μB.
Fractional positions:
Li1 0.1725 0.4348 0.3383  0.00
Li2 0.5552 0.0203 0.8122  0.00
Li3 0.0814 0.1807 0.6702  0.00
Li4 0.4448 0.9797 0.3122  0.00
Li5 0.9186 0.8193 0.1702  0.00
Li6 0.8275 0.5652 0.8383  0.00
F1 0.1567 0.7669 0.4641  0.00
F2 0.2363 0.6907 0.8512  0.00
F3 0.2187 0.1905 0.1788  0.00
F4 0.3265 0.2300 0.8422  0.03
F5 0.7813 0.8095 0.6788  0.00
F6 0.6642 0.6543 0.0128  0.00
F7 0.7637 0.3093 0.3512  0.00
F8 0.2004 0.6753 0.1631  0.02
F9 0.7996 0.3247 0.6631  0.02
F10 0.8433 0.2331 0.9641  0.00
F11 0.6735 0.7700 0.3422  0.03
F12 0.3358 0.3457 0.5128  0.00
V1 0.7512 0.5625 0.5048  1.87
V2 0.2488 0.4375 0.0048  1.87

---

# 6
Cs2KRb2: PBEsol geometry, meta-GGA SCAN.

* DOS(E_F): 0.928 states/eV/atom
* calculated formation energy: 55 meV per atom
* excess energy over the best structure of this formula in the dataset: 0.000 eV/atom

Unit cell a=5.3893 b=13.2526 c=13.2526 alpha=90.00 beta=90.00 gamma=90.00
Fractional positions:
Rb1 0.5000 0.8416 0.3416
Rb2 0.5000 0.6584 0.8416
Rb3 0.5000 0.3416 0.1584
Rb4 0.5000 0.1584 0.6584
K1 0.0000 0.5000 0.5000
K2 0.0000 0.0000 0.0000
Cs1 0.0000 0.8583 0.6417
Cs2 0.0000 0.1417 0.3583
Cs3 0.0000 0.6417 0.1417
Cs4 0.0000 0.3583 0.8583

---

# 7
SrZr2Ni: PBEsol geometry, meta-GGA SCAN.

* DOS(E_F): 1.451 states/eV/atom
* calculated formation energy: 206 meV per atom
* excess energy over the best structure of this formula in the dataset: 0.000 eV/atom

Unit cell a=3.2505 b=3.2505 c=8.8559 alpha=90.00 beta=90.00 gamma=90.00
Fractional positions:
Sr1 0.5000 0.5000 0.5000
Ni1 0.5000 0.5000 0.0000
Zr1 0.0000 0.0000 0.8359
Zr2 0.0000 0.0000 0.1641

---

# 8
SrTlMo2: PBEsol geometry, meta-GGA SCAN.

* DOS(E_F): 1.070 states/eV/atom
* calculated formation energy: 1101 meV per atom
* excess energy over the best structure of this formula in the dataset: 0.183 eV/atom

Unit cell a=3.4667 b=4.7761 c=5.8198 alpha=114.23 beta=107.33 gamma=90.00
Fractional positions:
Mo1 0.2625 0.2625 0.5250
Mo2 0.7375 0.7375 0.4750
Tl1 0.0000 0.5000 0.0000
Sr1 0.5000 0.0000 0.0000

---

# 9
Ba7Li3Ru4O20: PBEsol geometry, meta-GGA SCAN.

* DOS(E_F): 0.378 states/eV/atom
* energy relative to the elements, uncorrected: -72.245 eV per formula unit

Unit cell a=5.7426 b=5.7426 c=16.8444 alpha=80.68 beta=80.68 gamma=59.84
Last column: magnetic moment on the atom in μB.
Fractional positions:
O1 0.0359 0.6070 0.2896  0.03
O2 0.2237 0.7574 0.8570  0.20
O3 0.2200 0.2406 0.8468  0.23
O4 0.5872 0.0557 0.2897  0.03
O5 0.9889 0.5105 0.0000  0.34
O6 0.2426 0.7763 0.1430  0.20
O7 0.9443 0.4128 0.7103  0.03
O8 0.1718 0.7103 0.4257  0.19
O9 0.0378 0.0577 0.2828  0.04
O10 0.4895 0.0111 0.0000  0.34
O11 0.9423 0.9622 0.7172  0.04
O12 0.8090 0.3091 0.5742  0.19
O13 0.3930 0.9641 0.7104  0.03
O14 0.6909 0.1910 0.4258  0.19
O15 0.7369 0.2444 0.8567  0.20
O16 0.6898 0.7090 0.4313  0.19
O17 0.2910 0.3102 0.5687  0.19
O18 0.7556 0.2631 0.1433  0.20
O19 0.7594 0.7800 0.1532  0.23
O20 0.2897 0.8282 0.5743  0.19
Ba1 0.2558 0.2767 0.1365  0.00
Ba2 0.1810 0.2005 0.4227  0.01
Ba3 0.7233 0.7442 0.8635  0.00
Ba4 0.4287 0.4486 0.7158  0.01
Ba5 0.5514 0.5713 0.2842  0.01
Ba6 0.7995 0.8190 0.5773  0.01
Ba7 0.9893 0.0107 0.0000  0.00
Ru1 0.9080 0.9282 0.2038  1.57
Ru2 0.8647 0.8842 0.3704  1.52
Ru3 0.1158 0.1353 0.6296  1.52
Ru4 0.0718 0.0920 0.7962  1.57
Li1 0.4903 0.5097 0.5000  0.00
Li2 0.3235 0.3451 0.9302  0.00
Li3 0.6549 0.6765 0.0698  0.00

---

# 10
Tl2CoNi: PBEsol geometry, meta-GGA SCAN.

* DOS(E_F): 0.746 states/eV/atom
* calculated formation energy: 450 meV per atom

Unit cell a=3.5477 b=3.9435 c=5.1550 alpha=90.00 beta=110.13 gamma=90.00
Last column: magnetic moment on the atom in μB.
Fractional positions:
Ni1 0.5558 0.5000 0.1115  0.24
Tl1 0.9774 0.0000 0.9548  -0.02
Tl2 0.2709 0.5000 0.5419  -0.03
Co1 0.6955 0.0000 0.3911  1.75

---

# 11
SbAs4Rh: PBEsol geometry, meta-GGA SCAN.

* DOS(E_F): 0.744 states/eV/atom
* energy relative to the elements, uncorrected: 4.013 eV per formula unit

Unit cell a=5.4513 b=5.4513 c=5.4513 alpha=60.00 beta=60.00 gamma=60.00
Fractional positions:
As1 0.8744 0.3752 0.3752
As2 0.3752 0.3752 0.8744
As3 0.3752 0.8744 0.3752
As4 0.3752 0.3752 0.3752
Rh1 0.7500 0.7500 0.7500
Sb1 0.0000 0.0000 0.0000

---

# 12
Er2B6Os: PBEsol geometry, meta-GGA SCAN.

* DOS(E_F): 0.081 states/eV/atom
* calculated formation energy: -781 meV per atom

Unit cell a=3.5911 b=9.0429 c=11.4004 alpha=90.00 beta=90.00 gamma=90.00
Fractional positions:
B1 0.5000 0.2089 0.7337
B2 0.5000 0.7485 0.4204
B3 0.5000 0.2911 0.2337
B4 0.5000 0.7515 0.9204
B5 0.5000 0.8933 0.5296
B6 0.5000 0.7089 0.7663
B7 0.5000 0.1067 0.4704
B8 0.5000 0.0533 0.0665
B9 0.5000 0.0180 0.7872
B10 0.5000 0.6309 0.1850
B11 0.5000 0.6067 0.0296
B12 0.5000 0.5180 0.7128
B13 0.5000 0.5533 0.4335
B14 0.5000 0.3933 0.9704
B15 0.5000 0.2515 0.5796
B16 0.5000 0.9467 0.9335
B17 0.5000 0.4820 0.2872
B18 0.5000 0.8691 0.6850
B19 0.5000 0.9820 0.2128
B20 0.5000 0.2485 0.0796
B21 0.5000 0.7911 0.2663
B22 0.5000 0.3691 0.8150
B23 0.5000 0.1309 0.3150
B24 0.5000 0.4467 0.5665
Os1 0.0000 0.1373 0.1786
Os2 0.0000 0.8627 0.8214
Os3 0.0000 0.3627 0.6786
Os4 0.0000 0.6373 0.3214
Er1 0.0000 0.8213 0.0861
Er2 0.0000 0.3213 0.4139
Er3 0.0000 0.0564 0.6271
Er4 0.0000 0.4436 0.1271
Er5 0.0000 0.9436 0.3729
Er6 0.0000 0.5564 0.8729
Er7 0.0000 0.1787 0.9139
Er8 0.0000 0.6787 0.5861